1.
The following is a DFT calculation (PBE-GGA) of a relaxed structure of Th2AlZn4Ag3.

Calculated values
Energy of formation from the pure elements   -0.177 eV/atom
Space group   P-4m2 (115)

Geometry as POSCAR:
```
Th2AlZn4Ag3
1.0
4.2357 0.0000 0.0000
0.0000 4.2357 0.0000
0.0000 0.0000 11.3651
Th Al Zn Ag
2 1 4 3
Cartesian
0.0000 2.1179 2.7525
2.1179 0.0000 8.6126
2.1179 2.1179 0.0000
0.0000 0.0000 5.6825
0.0000 2.1179 9.8418
2.1179 0.0000 1.5233
2.1179 2.1179 5.6825
0.0000 0.0000 0.0000
0.0000 2.1179 7.2821
2.1179 0.0000 4.0830
```

2.
The following is a DFT calculation (PBE-GGA) of a relaxed structure of BeGaCl3.

Calculated values
E above lowest polymorph   0.0 meV/atom
Raw formation energy   -1.082 eV/atom
Space group   P2_1/m (11)

Geometry as POSCAR:
```
BeGaCl3
1.0
8.1089 0.0000 0.0000
0.0000 3.5159 0.0000
-1.3025 0.0000 8.6967
Be Ga Cl
2 2 6
Cartesian
1.3322 0.8790 2.3723
5.4742 2.6369 6.3244
1.3468 0.8790 6.8916
5.4596 2.6369 1.8050
-0.8040 2.6369 7.1463
1.5350 2.6369 3.5583
2.7992 0.8790 1.0149
4.0072 2.6369 7.6817
5.2714 0.8790 5.1384
7.6104 0.8790 1.5504
```

3.
The following is a DFT calculation (PBE-GGA) of a relaxed structure of BeP2Pb.

Calculated values
Energy of formation from the pure elements   0.845 eV/atom
Space group   P4/mmm (123)

Geometry as POSCAR:
```
BeP2Pb
1.0
4.4273 0.0000 0.0000
0.0000 4.4273 0.0000
0.0000 0.0000 3.8254
Be P Pb
1 2 1
Cartesian
0.0000 0.0000 0.0000
0.0000 2.2136 1.9127
2.2136 0.0000 1.9127
2.2136 2.2136 0.0000
```

4.
The following is a DFT calculation (PBE-GGA) of a relaxed structure of Nb4Zn.

Calculated values
E above lowest polymorph   0.0 meV/atom
Energy of formation from the pure elements   0.017 eV/atom
Space group   P-1 (2)

Geometry as POSCAR:
```
Nb4Zn
1.0
2.7652 0.0000 0.0000
-0.0146 4.7304 0.0000
-0.8317 -2.3662 6.7729
Nb Zn
4 1
Cartesian
-0.0015 1.1739 2.0420
0.1180 -1.1782 6.1297
1.8010 3.5424 0.6432
1.9205 1.1903 4.7309
0.9668 -1.1831 3.3865
```

Calculated calculated total energy (eV per atom), listed in the same order as above: -3.3997; -3.5406; -3.7186; -8.2936
Calculated DOS at the Fermi energy (states/eV/atom), listed in the same order as above: 0.620; 0.000; 0.357; 0.971